NdGa2Pb, optimized geometry, DFT PBE-GGA; E above lowest polymorph = 0.000 eV per atom; space-group type = P4/mmm (123); total DFT energy (no corrections) = -4.05 eV per atom; formation energy from the elements = -419 meV/atom
1.0
-2.352 -0.554 -3.752
3.939 -0.298 -2.425
0.050 -4.590 0.647
Ga Nd Pb
2 1 1
Direct
0.000 0.000 0.500
0.000 0.500 0.000
0.500 0.500 0.500
0.500 0.000 0.000